The following is a PBE calculation of an optimized crystal structure of Sr2AgAs, from Alexandria.

Cell: 6.297 6.297 4.628 Å, 90.01 90.01 40.91°
Atoms (fractional coordinates):
As1 0.296 0.296 0.125
Sr1 0.740 0.740 0.625
Sr2 0.015 0.015 0.125
Ag1 0.449 0.449 0.625

- DOS at the Fermi energy (states/eV/f.u.) = 0.531
- uncorrected energy (eV per atom) = -3.439
- ρ (g cm⁻³) = 4.9
- DFT formation energy (eV/atom) = -0.723